(1)
First-principles (PBE) data for Tl2AsRh after structural relaxation, as listed in Alexandria.

Summary:
V   492.0 Å³/cell
Energy of formation   0.543 eV/atom

Cell lengths 6.292, 6.292, 12.428 Å; angles 90.00, 90.00, 90.00 degrees
Element x y z (fractional)
1 Tl 0.236 0.250 0.125
2 Tl 0.250 0.736 0.375
3 Tl 0.250 0.764 0.875
4 Tl 0.264 0.250 0.625
5 Tl 0.736 0.750 0.625
6 Tl 0.750 0.236 0.875
7 Tl 0.750 0.264 0.375
8 Tl 0.764 0.750 0.125
9 As 0.000 0.000 0.500
10 As 0.000 0.500 0.750
11 As 0.500 0.000 0.250
12 As 0.500 0.500 0.000
13 Rh 0.000 0.000 0.000
14 Rh 0.000 0.500 0.250
15 Rh 0.500 0.000 0.750
16 Rh 0.500 0.500 0.500

***

(2)
First-principles (PBE) data for TlAs2Rh after structural relaxation, as listed in Alexandria.

Summary:
V   82.3 Å³/cell
Energy of formation   0.085 eV/atom

Cell lengths 3.359, 3.359, 7.297 Å; angles 90.00, 90.00, 90.00 degrees
Element x y z (fractional)
1 Tl 0.000 0.000 0.000
2 As 0.000 0.000 0.557
3 As 0.500 0.500 0.331
4 Rh 0.500 0.500 0.687

***

(3)
First-principles (PBE) data for Tl2AsRh after structural relaxation, as listed in Alexandria.

Summary:
V   88.0 Å³/cell
Energy of formation   0.229 eV/atom

Cell lengths 3.126, 3.245, 8.673 Å; angles 90.00, 90.00, 90.00 degrees
Element x y z (fractional)
1 Tl 0.000 0.000 0.207
2 Tl 0.000 0.000 0.793
3 As 0.000 0.500 0.500
4 Rh 0.500 0.500 0.000

***

(4)
First-principles (PBE) data for TlAs2Rh after structural relaxation, as listed in Alexandria.

Summary:
V   428.3 Å³/cell
Energy of formation   0.005 eV/atom

Cell lengths 6.114, 6.114, 11.460 Å; angles 90.00, 90.00, 90.00 degrees
Element x y z (fractional)
1 Tl 0.000 0.000 0.000
2 Tl 0.000 0.500 0.250
3 Tl 0.500 0.000 0.750
4 Tl 0.500 0.500 0.500
5 As 0.179 0.250 0.625
6 As 0.250 0.679 0.875
7 As 0.250 0.821 0.375
8 As 0.321 0.250 0.125
9 As 0.679 0.750 0.125
10 As 0.750 0.179 0.375
11 As 0.750 0.321 0.875
12 As 0.821 0.750 0.625
13 Rh 0.000 0.000 0.500
14 Rh 0.000 0.500 0.750
15 Rh 0.500 0.000 0.250
16 Rh 0.500 0.500 0.000

***

(5)
First-principles (PBE) data for TlAs2Rh after structural relaxation, as listed in Alexandria.

Summary:
V   153.9 Å³/cell
Energy of formation   0.331 eV/atom

Cell lengths 4.360, 4.360, 8.093 Å; angles 90.00, 90.00, 90.00 degrees
Element x y z (fractional)
1 Tl 0.000 0.000 0.000
2 Tl 0.500 0.500 0.500
3 As 0.000 0.000 0.500
4 As 0.000 0.500 0.750
5 As 0.500 0.000 0.250
6 As 0.500 0.500 0.000
7 Rh 0.000 0.500 0.250
8 Rh 0.500 0.000 0.750

***

(6)
First-principles (PBE) data for Tl2AsRh after structural relaxation, as listed in Alexandria.

Summary:
V   168.5 Å³/cell
Energy of formation   0.368 eV/atom

Cell lengths 4.529, 4.529, 8.215 Å; angles 90.00, 90.00, 90.00 degrees
Element x y z (fractional)
1 Tl 0.000 0.500 0.250
2 Tl 0.000 0.500 0.750
3 Tl 0.500 0.000 0.250
4 Tl 0.500 0.000 0.750
5 As 0.000 0.000 0.000
6 As 0.500 0.500 0.500
7 Rh 0.000 0.000 0.500
8 Rh 0.500 0.500 0.000

***

(7)
First-principles (PBE) data for TlAs2Rh after structural relaxation, as listed in Alexandria.

Summary:
V   306.0 Å³/cell
Energy of formation   0.266 eV/atom

Cell lengths 6.738, 6.738, 6.738 Å; angles 90.00, 90.00, 90.00 degrees
Element x y z (fractional)
1 Tl 0.000 0.000 0.000
2 Tl 0.000 0.500 0.500
3 Tl 0.500 0.000 0.500
4 Tl 0.500 0.500 0.000
5 As 0.250 0.250 0.250
6 As 0.250 0.250 0.750
7 As 0.250 0.750 0.250
8 As 0.250 0.750 0.750
9 As 0.750 0.250 0.250
10 As 0.750 0.250 0.750
11 As 0.750 0.750 0.250
12 As 0.750 0.750 0.750
13 Rh 0.000 0.000 0.500
14 Rh 0.000 0.500 0.000
15 Rh 0.500 0.000 0.000
16 Rh 0.500 0.500 0.500

***

(8)
First-principles (PBE) data for Tl2AsRh after structural relaxation, as listed in Alexandria.

Summary:
V   93.7 Å³/cell
Energy of formation   -0.093 eV/atom

Cell lengths 3.298, 3.298, 8.613 Å; angles 90.00, 90.00, 90.00 degrees
Element x y z (fractional)
1 Tl 0.000 0.000 0.000
2 Tl 0.500 0.500 0.352
3 As 0.000 0.000 0.627
4 Rh 0.500 0.500 0.740

***

(9)
First-principles (PBE) data for Tl2AsRh after structural relaxation, as listed in Alexandria.

Summary:
V   201.0 Å³/cell
Energy of formation   -0.086 eV/atom

Cell lengths 8.310, 3.441, 7.379 Å; angles 90.00, 107.68, 90.00 degrees
Element x y z (fractional)
1 Tl 0.000 0.000 0.000
2 Tl 0.177 0.000 0.657
3 Tl 0.500 0.500 0.000
4 Tl 0.677 0.500 0.657
5 As 0.391 0.000 0.327
6 As 0.891 0.500 0.327
7 Rh 0.193 0.500 0.331
8 Rh 0.693 0.000 0.331

***

(10)
First-principles (PBE) data for TlAs2Rh after structural relaxation, as listed in Alexandria.

Summary:
V   177.8 Å³/cell
Energy of formation   -0.153 eV/atom

Cell lengths 7.398, 3.675, 6.793 Å; angles 90.00, 105.71, 90.00 degrees
Element x y z (fractional)
1 Tl 0.000 0.000 0.000
2 Tl 0.500 0.500 0.000
3 As 0.227 0.000 0.656
4 As 0.273 0.500 0.344
5 As 0.727 0.500 0.656
6 As 0.773 0.000 0.344
7 Rh 0.000 0.500 0.500
8 Rh 0.500 0.000 0.500

***

(11)
First-principles (PBE) data for Tl2AsRh after structural relaxation, as listed in Alexandria.

Summary:
V   198.2 Å³/cell
Energy of formation   -0.062 eV/atom

Cell lengths 3.516, 5.279, 10.678 Å; angles 90.00, 90.00, 90.00 degrees
Element x y z (fractional)
1 Tl 0.000 0.000 0.000
2 Tl 0.000 0.500 0.500
3 Tl 0.500 0.000 0.337
4 Tl 0.500 0.500 0.837
5 As 0.000 0.000 0.628
6 As 0.000 0.500 0.128
7 Rh 0.500 0.000 0.778
8 Rh 0.500 0.500 0.278

***

(12)
First-principles (PBE) data for TlAs2Rh after structural relaxation, as listed in Alexandria.

Summary:
V   184.8 Å³/cell
Energy of formation   -0.082 eV/atom

Cell lengths 8.444, 3.507, 6.479 Å; angles 90.00, 105.56, 90.00 degrees
Element x y z (fractional)
1 Tl 0.000 0.000 0.000
2 Tl 0.500 0.500 0.000
3 As 0.222 0.000 0.682
4 As 0.353 0.000 0.380
5 As 0.722 0.500 0.682
6 As 0.853 0.500 0.380
7 Rh 0.146 0.500 0.396
8 Rh 0.646 0.000 0.396

***

For the records above, the corresponding E_tot values read -3.640; -4.670; -3.954; -4.749; -4.423; -3.815; -4.488; -4.276; -4.269; -4.907; -4.245; -4.836 eV/atom.